1.
First-principles (GGA-PBE) data for a relaxed Sm2PaAs crystal, as listed in the Alexandria database.

```
Sm2PaAs
1.0
3.665 0.000 0.000
-1.833 3.174 0.000
0.000 0.000 31.307
Sm Pa As
6 3 3
direct
0.000 0.000 0.107 Sm
0.000 0.000 0.893 Sm
0.333 0.667 0.559 Sm
0.333 0.667 0.774 Sm
0.667 0.333 0.226 Sm
0.667 0.333 0.441 Sm
0.000 0.000 0.000 Pa
0.333 0.667 0.667 Pa
0.667 0.333 0.333 Pa
0.000 0.000 0.500 As
0.333 0.667 0.167 As
0.667 0.333 0.833 As
```

The value obtained for the formation energy is -59.3 meV/atom. As for the space group: R-3m (166).

=====

2.
First-principles (GGA-PBE) data for a relaxed Nd3Zn3Pd8 crystal, as listed in the Alexandria database.

```
Nd3Zn3Pd8
1.0
-2.171 4.739 6.575
2.171 -4.739 6.575
2.171 4.739 -6.575
Nd Zn Pd
3 3 8
direct
0.000 0.000 0.000 Nd
0.300 0.300 0.000 Nd
0.700 0.700 0.000 Nd
0.268 0.500 0.768 Zn
0.500 0.000 0.500 Zn
0.732 0.500 0.232 Zn
0.034 0.680 0.354 Pd
0.179 0.889 0.290 Pd
0.326 0.680 0.646 Pd
0.401 0.111 0.290 Pd
0.599 0.889 0.710 Pd
0.674 0.320 0.354 Pd
0.821 0.111 0.710 Pd
0.966 0.320 0.646 Pd
```

The value obtained for the formation energy is -639.8 meV/atom. As for the space group: Immm (71).

=====

3.
First-principles (GGA-PBE) data for a relaxed Sr2PuO6 crystal, as listed in the Alexandria database.

```
Sr2PuO6
1.0
6.018 0.000 0.000
0.000 6.018 0.000
0.000 0.000 8.401
Sr Pu O
4 2 12
direct
0.000 0.500 0.250 Sr
0.000 0.500 0.750 Sr
0.500 0.000 0.250 Sr
0.500 0.000 0.750 Sr
0.000 0.000 0.000 Pu
0.500 0.500 0.500 Pu
0.000 0.000 0.233 O
0.000 0.000 0.767 O
0.132 0.299 0.000 O
0.201 0.368 0.500 O
0.299 0.868 0.000 O
0.368 0.799 0.500 O
0.500 0.500 0.267 O
0.500 0.500 0.733 O
0.632 0.201 0.500 O
0.701 0.132 0.000 O
0.799 0.632 0.500 O
0.868 0.701 0.000 O
```

As for the space group: P4/mnc (128). For the formation energy from raw total energies, the calculation gives -2449 meV/atom.

=====

4.
First-principles (GGA-PBE) data for a relaxed LaZr2Au crystal, as listed in the Alexandria database.

```
LaZr2Au
1.0
4.415 0.000 0.000
0.000 4.415 0.000
0.000 0.000 9.840
La Zr Au
2 4 2
direct
0.000 0.000 0.000 La
0.500 0.500 0.500 La
0.000 0.500 0.250 Zr
0.000 0.500 0.750 Zr
0.500 0.000 0.250 Zr
0.500 0.000 0.750 Zr
0.000 0.000 0.500 Au
0.500 0.500 0.000 Au
```

The value obtained for the formation energy is -71.9 meV/atom. As for the space group: I4/mmm (139).

=====

5.
First-principles (GGA-PBE) data for a relaxed Np2FeNi3Ge4 crystal, as listed in the Alexandria database.

```
Np2FeNi3Ge4
1.0
4.136 0.000 0.000
0.000 4.136 0.000
0.000 0.000 9.482
Np Fe Ni Ge
2 1 3 4
direct
0.000 0.500 0.243 Np
0.500 0.000 0.757 Np
0.500 0.500 0.000 Fe
0.000 0.000 0.000 Ni
0.000 0.500 0.623 Ni
0.500 0.000 0.377 Ni
0.000 0.000 0.500 Ge
0.000 0.500 0.868 Ge
0.500 0.000 0.132 Ge
0.500 0.500 0.500 Ge
```

The value obtained for the formation energy is -322.3 meV/atom. As for the space group: P-4m2 (115).

=====

6.
First-principles (GGA-PBE) data for a relaxed ScBe3Ir crystal, as listed in the Alexandria database.

```
ScBe3Ir
1.0
4.196 0.000 0.000
0.000 4.196 0.000
0.000 0.000 4.196
Sc Be Ir
1 3 1
direct
0.000 0.000 0.000 Sc
0.000 0.000 0.500 Be
0.000 0.500 0.000 Be
0.500 0.000 0.000 Be
0.500 0.500 0.500 Ir
```

The value obtained for the formation energy is 2073.8 meV/atom. As for the space group: Pm-3m (221).